<w>
A geometry-optimized B2C structure. Source: the Alexandria database, functional PBE.

POSCAR file:
```
B2C
1.0
-2.2839 1.6780 -2.7166
-3.1646 -2.6265 3.0166
0.8136 4.3349 2.6115
B C
8 4
direct
0.2075 0.9319 0.9892
0.3260 0.1020 0.7529
0.2968 0.4537 0.8023
0.5931 0.2153 0.5265
0.8146 0.7249 0.4682
0.9891 0.0894 0.5064
0.9975 0.3232 0.3155
0.4660 0.3172 0.0777
0.6762 0.5573 0.6848
0.2683 0.1481 0.2687
0.8619 0.5255 0.1811
0.0030 0.6116 0.9266
```

Calculated values
- ρ: 2.4 g/cm3

***

<x>
A geometry-optimized B2C structure. Source: the Alexandria database, functional PBE.

POSCAR file:
```
B2C
1.0
-2.3736 -0.8410 0.4020
1.6527 -1.4277 -1.3166
4.4712 -6.5442 12.7090
B C
8 4
direct
0.0000 0.0000 0.8401
0.3333 0.6667 0.9128
0.6667 0.3333 0.6560
0.0000 0.0000 0.7282
0.3333 0.6667 0.3550
0.3333 0.6667 0.4682
0.6667 0.3333 0.5437
0.6667 0.3333 0.1601
0.0000 0.0000 0.3039
0.0000 0.0000 0.2102
0.3333 0.6667 0.0182
0.6667 0.3333 0.0536
```

Calculated values
- ρ: 2.6 g/cm3

***

Top of the stability list: <w>, leading by 53 meV per atom.

***

<w>
A geometry-optimized BeAuBr2 structure. Source: the Alexandria database, functional PBE.

POSCAR file:
```
BeAuBr2
1.0
11.1733 0.0544 0.0319
10.6671 3.3254 0.0319
10.6671 1.6507 2.8869
Be Au Br
1 1 2
direct
0.7500 0.7500 0.7500
0.2500 0.2500 0.2500
0.0407 0.0407 0.0407
0.4593 0.4593 0.4593
```

Calculated values
- ρ: 5.8 g/cm3

***

<x>
A geometry-optimized BeAuBr2 structure. Source: the Alexandria database, functional PBE.

POSCAR file:
```
BeAuBr2
1.0
-0.2236 -6.6100 3.2149
3.4386 -3.6243 5.3962
-1.5736 -2.8781 6.5816
Be Au Br
1 1 2
direct
0.0000 0.0000 0.0000
0.5000 0.5000 0.5000
0.0974 0.0974 0.0974
0.9026 0.9026 0.9026
```

Calculated values
- ρ: 3.9 g/cm3

***

Top of the stability list: <w>, leading by 345 meV per atom.

***

<w>
A geometry-optimized ZnTe2P structure. Source: the Alexandria database, functional PBE.

POSCAR file:
```
ZnTe2P
1.0
-1.9272 3.8162 4.1901
1.9272 -3.8162 4.1901
1.9272 3.8162 -4.1901
Zn Te P
1 2 1
direct
0.5000 0.5000 0.0000
0.2456 0.0000 0.2456
0.7544 0.0000 0.7544
0.0000 0.5000 0.5000
```

Calculated values
- ρ: 4.7 g/cm3

***

<x>
A geometry-optimized ZnTe2P structure. Source: the Alexandria database, functional PBE.

POSCAR file:
```
ZnTe2P
1.0
-2.3380 -2.6088 7.5692
-5.7969 -4.3340 4.1445
5.6420 1.4283 -5.9743
Zn Te P
1 2 1
direct
0.4354 0.4354 0.0000
0.0156 0.0156 0.0000
0.7443 0.2443 0.5000
0.3047 0.8047 0.5000
```

Calculated values
- ρ: 5.6 g/cm3

***

Top of the stability list: <x>, leading by 109 meV per atom.

***

<w>
A geometry-optimized Zn2AsP structure. Source: the Alexandria database, functional PBE.

POSCAR file:
```
Zn2AsP
1.0
-2.9856 0.6683 -0.6986
1.5656 -0.4444 -2.6833
-1.6640 -7.2014 0.2219
Zn As P
2 1 1
direct
0.0000 0.0000 0.2321
0.0000 0.0000 0.7679
0.5000 0.5000 0.5000
0.5000 0.5000 0.0000
```

Calculated values
- ρ: 5.7 g/cm3

***

<x>
A geometry-optimized Zn2AsP structure. Source: the Alexandria database, functional PBE.

POSCAR file:
```
Zn2AsP
1.0
1.7017 2.4009 4.7725
3.5971 4.2923 0.2715
-4.6496 -1.6618 -2.6564
Zn As P
2 1 1
direct
0.0000 0.0000 0.0000
0.2500 0.7500 0.5000
0.5000 0.5000 0.0000
0.7500 0.2500 0.5000
```

Calculated values
- ρ: 5.8 g/cm3

***

Top of the stability list: <w>, leading by 25 meV per atom.

***

<w>
A geometry-optimized Li5Ru structure. Source: the Alexandria database, functional PBE.

POSCAR file:
```
Li5Ru
1.0
2.6139 0.0000 0.0000
0.0000 4.7710 0.0000
0.0000 -2.3855 7.1927
Ru Li
1 5
direct
0.0000 0.0000 0.0000
0.0000 0.6548 0.3097
0.0000 0.3452 0.6903
0.5000 0.5000 0.0000
0.5000 0.1602 0.3203
0.5000 0.8398 0.6797
```

Calculated values
- ρ: 2.5 g/cm3

***

<x>
A geometry-optimized Li5Ru structure. Source: the Alexandria database, functional PBE.

POSCAR file:
```
Li5Ru
1.0
2.3937 -4.1461 0.0000
2.3937 4.1461 0.0000
0.0000 0.0000 4.4014
Li Ru
5 1
direct
0.3333 0.6667 0.0000
0.6667 0.3333 0.0000
0.5000 0.0000 0.5000
0.0000 0.5000 0.5000
0.5000 0.5000 0.5000
0.0000 0.0000 0.0000
```

Calculated values
- ρ: 2.6 g/cm3

***

Top of the stability list: <w>, leading by 311 meV per atom.